A relaxed structure of BaNaGeO3, computed with PBE-GGA. Values from VASP.

Properties
Magnetic moment   0.8 Bohr magnetons per cell
Total energy   -5.46 eV/atom
Symmetry   P6_3/mmc (194)

Quantum ESPRESSO input file:
```
&SYSTEM
  ibrav = 0, nat = 12, ntyp = 4
/
ATOMIC_SPECIES
Ba 137.33 Ba.upf
Na 22.99 Na.upf
Ge 72.64 Ge.upf
O 16.00 O.upf
ATOMIC_POSITIONS crystal
Ba 0.667 0.333 0.250
Ba 0.333 0.667 0.750
Na 0.000 0.000 0.500
Na 0.000 0.000 0.000
Ge 0.333 0.667 0.250
Ge 0.667 0.333 0.750
O 0.834 0.166 0.750
O 0.166 0.332 0.250
O 0.332 0.166 0.750
O 0.668 0.834 0.250
O 0.834 0.668 0.750
O 0.166 0.834 0.250
CELL_PARAMETERS angstrom
6.051 0.000 0.000
-3.025 5.240 0.000
0.000 0.000 7.055
```

***

A relaxed structure of BaNaPmGe, computed with PBE-GGA. Values from VASP.

Properties
Magnetic moment   0.0 Bohr magnetons per cell
Symmetry   F-43m (216)
Formation energy   -0.159 eV per atom

Quantum ESPRESSO input file:
```
&SYSTEM
  ibrav = 0, nat = 4, ntyp = 4
/
ATOMIC_SPECIES
Na 22.99 Na.upf
Ge 72.64 Ge.upf
Ba 137.33 Ba.upf
Pm 145.00 Pm.upf
ATOMIC_POSITIONS crystal
Na 0.750 0.750 0.750
Ge 0.250 0.250 0.250
Ba 0.500 0.500 0.500
Pm 0.000 0.000 0.000
CELL_PARAMETERS angstrom
5.585 0.000 0.000
2.793 4.837 0.000
2.793 1.612 4.560
```

***

A relaxed structure of Ba2NaGePt, computed with PBE-GGA. Values from VASP.

Properties
Magnetic moment   0.0 Bohr magnetons per cell
Symmetry   P4/mmm (123)
Formation energy   -0.422 eV per atom

Quantum ESPRESSO input file:
```
&SYSTEM
  ibrav = 0, nat = 5, ntyp = 4
/
ATOMIC_SPECIES
Na 22.99 Na.upf
Ge 72.64 Ge.upf
Ba 137.33 Ba.upf
Pt 195.08 Pt.upf
ATOMIC_POSITIONS crystal
Na 0.500 0.500 0.500
Ge 0.000 0.000 0.500
Ba 0.000 0.500 0.000
Ba 0.500 0.000 0.000
Pt 0.000 0.000 0.000
CELL_PARAMETERS angstrom
-1.862 5.492 2.622
-5.790 -0.753 -2.533
-1.408 -2.346 3.914
```

***

Number 1: calculated volume 224 Å³/cell. Number 2: calculated volume 123 Å³/cell. Number 3: calculated volume 193 Å³/cell.